{
  "formula": "KMoP3",
  "functional": "PBE-GGA",
  "state": "optimized geometry",
  "lattice": [[4.834, 0.000, 0.000], [0.000, 4.834, 0.000], [0.000, 0.000, 4.834]],
  "species": ["K", "Mo", "P", "P", "P"],
  "frac_coords": [[0.000, 0.000, 0.000], [0.500, 0.500, 0.500], [0.000, 0.000, 0.500], [0.000, 0.500, 0.000], [0.500, 0.000, 0.000]],
  "sg": "Pm-3m",
  "relative_energy_ev_per_atom": 2.568,
  "dft_energy_ev_per_atom": -2.997,
  "e_form_mev_per_atom": 2635
}